1.
Entry from the Open Quantum Materials Database: AgAs5Pt3 after structural relaxation (PBE).

Calculated values
* E_tot: -4.755 eV per atom

Lattice parameters (Å, degrees): 5.7232 5.7232 6.8201 90.00 90.00 120.00
Fractional positions:
Ag  0.0000  0.0000  0.0000
As  0.0000  0.0000  0.5000
As  0.3333  0.6667  0.2151
As  0.3333  0.6667  0.7849
As  0.6667  0.3333  0.2151
As  0.6667  0.3333  0.7849
Pt  0.0000  0.5000  0.5000
Pt  0.5000  0.0000  0.5000
Pt  0.5000  0.5000  0.5000

***

2.
Entry from the Open Quantum Materials Database: TlNi3Sb5 after structural relaxation (PBE).

Calculated values
* E_tot: -4.515 eV per atom

Lattice parameters (Å, degrees): 5.3551 5.3551 8.3090 90.00 90.00 120.00
Fractional positions:
Tl  0.0000  0.0000  0.0000
Ni  0.0000  0.5000  0.5000
Ni  0.5000  0.0000  0.5000
Ni  0.5000  0.5000  0.5000
Sb  0.0000  0.0000  0.5000
Sb  0.3333  0.6667  0.2400
Sb  0.3333  0.6667  0.7600
Sb  0.6667  0.3333  0.2400
Sb  0.6667  0.3333  0.7600

***

3.
Entry from the Open Quantum Materials Database: NaTbHgSe3 after structural relaxation (PBE).

Calculated values
* E above lowest polymorph: 0.000 eV/f.u.
* E_tot: -3.892 eV per atom

Lattice parameters (Å, degrees): 13.8901 4.1841 11.3519 90.00 90.00 90.00
Fractional positions:
Na  0.2389  0.2500  0.0792
Na  0.2611  0.7500  0.5792
Na  0.7389  0.2500  0.4208
Na  0.7611  0.7500  0.9208
Tb  0.0196  0.2500  0.3457
Tb  0.4804  0.7500  0.8457
Tb  0.5196  0.2500  0.1543
Tb  0.9804  0.7500  0.6543
Hg  0.0089  0.7500  0.1037
Hg  0.4911  0.2500  0.6037
Hg  0.5089  0.7500  0.3963
Hg  0.9911  0.2500  0.8963
Se  0.1058  0.2500  0.5712
Se  0.1132  0.7500  0.8764
Se  0.1491  0.7500  0.2592
Se  0.3509  0.2500  0.7592
Se  0.3868  0.2500  0.3764
Se  0.3942  0.7500  0.0712
Se  0.6058  0.2500  0.9288
Se  0.6132  0.7500  0.6236
Se  0.6491  0.7500  0.2408
Se  0.8509  0.2500  0.7408
Se  0.8868  0.2500  0.1236
Se  0.8942  0.7500  0.4288

***

4.
Entry from the Open Quantum Materials Database: Sr2CdPt2 after structural relaxation (PBE).

Calculated values
* E_tot: -4.027 eV per atom

Lattice parameters (Å, degrees): 5.9523 5.9523 5.9523 134.55 119.41 78.90
Fractional positions:
Sr  0.2004  0.2004  0.0000
Sr  0.7996  0.7996  0.0000
Cd  0.5000  0.0000  0.5000
Pt  0.2269  0.5000  0.7269
Pt  0.7731  0.5000  0.2731

***

5.
Entry from the Open Quantum Materials Database: Zr2CoBi after structural relaxation (PBE).

Calculated values
* E_tot: -6.775 eV per atom

Lattice parameters (Å, degrees): 4.8585 4.8585 4.8585 60.00 60.00 60.00
Fractional positions:
Zr  0.0000  0.0000  0.0000
Zr  0.2500  0.2500  0.2500
Co  0.7500  0.7500  0.7500
Bi  0.5000  0.5000  0.5000

***

6.
Entry from the Open Quantum Materials Database: YTm2In3Pt2 after structural relaxation (PBE).

Calculated values
* E_tot: -5.357 eV per atom

Lattice parameters (Å, degrees): 3.6002 7.6853 7.6853 120.16 90.00 90.00
Fractional positions:
Y  0.0000  0.0000  0.0000
Tm  0.0000  0.1586  0.5802
Tm  0.0000  0.5802  0.1586
In  0.5000  0.3502  0.3502
In  0.5000  0.5788  0.8111
In  0.5000  0.8111  0.5788
Pt  0.5000  0.2507  0.9120
Pt  0.5000  0.9120  0.2507

***

7.
Entry from the Open Quantum Materials Database: UTe2 after structural relaxation (PBE).

Calculated values
* E_tot: -6.443 eV per atom

Lattice parameters (Å, degrees): 4.3160 7.4756 14.5549 90.00 90.00 90.00
Fractional positions:
U  0.0000  0.0288  0.0000
U  0.0000  0.4709  0.4978
U  0.5000  0.5291  0.9978
U  0.5000  0.9712  0.5000
Te  0.0000  0.1400  0.6204
Te  0.0000  0.3642  0.1194
Te  0.0000  0.6980  0.8775
Te  0.0000  0.8061  0.3784
Te  0.5000  0.1939  0.8784
Te  0.5000  0.3020  0.3775
Te  0.5000  0.6358  0.6194
Te  0.5000  0.8600  0.1204

***

8.
Entry from the Open Quantum Materials Database: HfNiSbPt after structural relaxation (PBE).

Calculated values
* E above lowest polymorph: 0.425 eV/f.u.
* E_tot: -6.790 eV per atom

Lattice parameters (Å, degrees): 4.6240 4.6240 4.6240 60.00 60.00 60.00
Fractional positions:
Hf  0.0000  0.0000  0.0000
Ni  0.5000  0.5000  0.5000
Sb  0.2500  0.2500  0.2500
Pt  0.7500  0.7500  0.7500

***

9.
Entry from the Open Quantum Materials Database: Nd3DyHo2CoTe2 after structural relaxation (PBE).

Calculated values
* E_tot: -5.313 eV per atom

Lattice parameters (Å, degrees): 3.9876 8.4710 8.4710 120.00 90.00 90.00
Fractional positions:
Nd  0.0000  0.0000  0.0000
Nd  0.0000  0.4037  0.8074
Nd  0.0000  0.8074  0.4037
Dy  0.5000  0.6357  0.6357
Ho  0.5000  0.1717  0.4037
Ho  0.5000  0.4037  0.1717
Co  0.0000  0.4037  0.4037
Te  0.5000  0.0704  0.7370
Te  0.5000  0.7370  0.0704

***

10.
Entry from the Open Quantum Materials Database: KTmMo after structural relaxation (PBE).

Calculated values
* E above lowest polymorph: 0.000 eV/f.u.
* E_tot: -3.793 eV per atom

Lattice parameters (Å, degrees): 5.2586 5.2586 5.2586 60.00 60.00 60.00
Fractional positions:
K  0.0000  0.0000  0.0000
Tm  0.5000  0.5000  0.5000
Mo  0.2500  0.2500  0.2500

***

11.
Entry from the Open Quantum Materials Database: BaLuU after structural relaxation (PBE).

Calculated values
* E above lowest polymorph: 0.000 eV/f.u.
* E_tot: -4.422 eV per atom

Lattice parameters (Å, degrees): 5.6703 5.6703 5.6703 60.00 60.00 60.00
Fractional positions:
Ba  0.0000  0.0000  0.0000
Lu  0.2500  0.2500  0.2500
U  0.5000  0.5000  0.5000

***

- Which value of E_tot does entry 8 give?
  -6.790 eV per atom

***

- Number 1 is which compound?
  AgAs5Pt3